Entry from Alexandria via LeMat-Bulk: a geometry-optimized ZnMoBr2 structure (PBE).

Computed properties:
- Offset from the most stable computed form: 418 meV per atom
- Formation energy (no corrections): 38.23 kJ/mol of atoms

Lattice parameters (Å, degrees): 3.208 3.208 9.356 90.00 90.00 90.00
Element x y z (fractional)
Br1 0.000 0.000 0.420
Br2 0.000 0.000 0.080
Zn1 0.500 0.500 0.750
Mo1 0.500 0.500 0.250



Entry from Alexandria via LeMat-Bulk: a geometry-optimized Nb2FeSi4 structure (PBE).

Computed properties:
- Formation energy (no corrections): 30.93 kJ/mol of atoms

Lattice parameters (Å, degrees): 4.381 4.381 6.963 71.66 71.66 90.00
Element x y z (fractional)
Si1 0.818 0.818 0.363
Si2 0.182 0.182 0.637
Si3 0.500 0.000 0.000
Si4 0.000 0.500 0.000
Fe1 0.000 0.000 0.000
Nb1 0.614 0.614 0.773
Nb2 0.386 0.386 0.227



Entry from Alexandria via LeMat-Bulk: a geometry-optimized KTl2GeO4 structure (PBE).

Computed properties:
- Formation energy (no corrections): -117.64 kJ/mol of atoms

Lattice parameters (Å, degrees): 5.930 6.116 6.063 122.74 118.94 88.81
Element x y z (fractional)
K1 0.010 0.480 0.007
Tl1 0.260 0.238 0.528
Tl2 0.506 0.977 0.989
Ge1 0.728 0.739 0.460
O1 0.501 0.919 0.359
O2 0.705 0.696 0.717
O3 0.060 0.929 0.620
O4 0.617 0.409 0.094



Entry from Alexandria via LeMat-Bulk: a geometry-optimized CaScGa2Pt2 structure (PBE).

Computed properties:
- ΔH_f (0 K): -975 meV/atom

Lattice parameters (Å, degrees): 4.422 4.422 6.948 90.00 90.00 120.00
Element x y z (fractional)
Ga1 0.667 0.333 0.711
Ga2 0.333 0.667 0.289
Pt1 0.333 0.667 0.705
Pt2 0.667 0.333 0.295
Sc1 0.000 0.000 0.500
Ca1 0.000 0.000 0.000



Entry from Alexandria via LeMat-Bulk: a geometry-optimized Na6Hg12Pt structure (PBE).

Computed properties:
- ΔH_f (0 K): -196 meV/atom

Lattice parameters (Å, degrees): 7.871 7.871 7.871 95.03 95.03 95.03
Element x y z (fractional)
Hg1 0.452 0.207 0.532
Hg2 0.207 0.532 0.452
Hg3 0.964 0.644 0.879
Hg4 0.879 0.964 0.644
Hg5 0.356 0.121 0.036
Hg6 0.532 0.452 0.207
Hg7 0.468 0.548 0.793
Hg8 0.793 0.468 0.548
Hg9 0.036 0.356 0.121
Hg10 0.644 0.879 0.964
Hg11 0.548 0.793 0.468
Hg12 0.121 0.036 0.356
Na1 0.875 0.707 0.257
Na2 0.293 0.743 0.125
Na3 0.257 0.875 0.707
Na4 0.125 0.293 0.743
Na5 0.707 0.257 0.875
Na6 0.743 0.125 0.293
Pt1 0.000 0.000 0.000



Entry from Alexandria via LeMat-Bulk: a geometry-optimized YWN3 structure (PBE).

Computed properties:
- Formation energy (no corrections): -84.60 kJ/mol of atoms

Lattice parameters (Å, degrees): 5.955 5.955 5.955 54.74 54.74 54.74
Element x y z (fractional)
W1 0.642 0.642 0.642
W2 0.358 0.358 0.358
N1 0.070 0.686 0.479
N2 0.686 0.479 0.070
N3 0.930 0.314 0.521
N4 0.521 0.930 0.314
N5 0.314 0.521 0.930
N6 0.479 0.070 0.686
Y1 0.865 0.865 0.865
Y2 0.135 0.135 0.135



Entry from Alexandria via LeMat-Bulk: a geometry-optimized KRb2SnBr6 structure (PBE).

Computed properties:
- Formation energy (no corrections): -124.44 kJ/mol of atoms

Lattice parameters (Å, degrees): 8.288 8.288 15.158 74.13 74.13 60.00
Element x y z (fractional)
Rb1 0.145 0.145 0.564
Rb2 0.855 0.855 0.436
Rb3 0.732 0.732 0.803
Rb4 0.268 0.268 0.197
Br1 0.630 0.630 0.621
Br2 0.630 0.119 0.621
Br3 0.186 0.186 0.893
Br4 0.814 0.265 0.107
Br5 0.265 0.814 0.107
Br6 0.735 0.186 0.893
Br7 0.370 0.370 0.379
Br8 0.814 0.814 0.107
Br9 0.881 0.370 0.379
Br10 0.370 0.881 0.379
Br11 0.119 0.630 0.621
Br12 0.186 0.735 0.893
Sn1 0.000 0.000 0.000
Sn2 0.500 0.500 0.500
K1 0.412 0.412 0.764
K2 0.588 0.588 0.236



Entry from Alexandria via LeMat-Bulk: a geometry-optimized UTi2Pd structure (PBE).

Computed properties:
- Offset from the most stable computed form: 180 meV per atom
- ΔH_f (0 K): 60 meV/atom

Lattice parameters (Å, degrees): 4.602 4.602 4.602 60.00 60.00 60.00
Element x y z (fractional)
Pd1 0.500 0.500 0.500
U1 0.000 0.000 0.000
Ti1 0.250 0.250 0.250
Ti2 0.750 0.750 0.750



Entry from Alexandria via LeMat-Bulk: a geometry-optimized Sn5Hg12Cl3 structure (PBE).

Computed properties:
- Formation energy (no corrections): 0.77 kJ/mol of atoms

Lattice parameters (Å, degrees): 15.257 15.257 15.257 109.47 109.47 109.47
Element x y z (fractional)
Hg1 0.093 0.717 0.537
Hg2 0.376 0.093 0.556
Hg3 0.537 0.217 0.093
Hg4 0.624 0.907 0.444
Hg5 0.320 0.537 0.444
Hg6 0.320 0.783 0.376
Hg7 0.376 0.283 0.320
Hg8 0.680 0.217 0.624
Hg9 0.717 0.624 0.180
Hg10 0.056 0.876 0.093
Hg11 0.180 0.056 0.963
Hg12 0.463 0.680 0.056
Hg13 0.444 0.037 0.320
Hg14 0.283 0.376 0.820
Hg15 0.944 0.820 0.537
Hg16 0.593 0.037 0.217
Hg17 0.876 0.056 0.593
Hg18 0.124 0.180 0.217
Hg19 0.217 0.537 0.593
Hg20 0.820 0.944 0.037
Hg21 0.537 0.320 0.944
Hg22 0.783 0.320 0.876
Hg23 0.963 0.556 0.180
Hg24 0.037 0.444 0.820
Hg25 0.056 0.180 0.463
Hg26 0.556 0.593 0.376
Hg27 0.407 0.444 0.124
Hg28 0.717 0.093 0.037
Hg29 0.556 0.963 0.680
Hg30 0.624 0.717 0.680
Hg31 0.093 0.376 0.056
Hg32 0.783 0.463 0.407
Hg33 0.283 0.907 0.963
Hg34 0.944 0.124 0.907
Hg35 0.217 0.680 0.124
Hg36 0.180 0.124 0.717
Hg37 0.963 0.407 0.283
Hg38 0.444 0.407 0.624
Hg39 0.907 0.624 0.944
Hg40 0.907 0.283 0.463
Hg41 0.593 0.556 0.876
Hg42 0.124 0.944 0.407
Hg43 0.407 0.963 0.783
Hg44 0.820 0.876 0.283
Hg45 0.680 0.463 0.556
Hg46 0.037 0.593 0.717
Hg47 0.876 0.820 0.783
Hg48 0.463 0.783 0.907
Sn1 0.500 0.000 0.000
Sn2 0.500 0.500 0.000
Sn3 0.125 0.375 0.250
Sn4 0.375 0.125 0.750
Sn5 0.500 0.000 0.500
Sn6 0.625 0.750 0.875
Sn7 0.000 0.000 0.000
Sn8 0.125 0.750 0.375
Sn9 0.875 0.250 0.625
Sn10 0.750 0.125 0.875
Sn11 0.250 0.875 0.125
Sn12 0.000 0.500 0.500
Sn13 0.375 0.250 0.125
Sn14 0.750 0.625 0.375
Sn15 0.500 0.500 0.500
Sn16 0.000 0.500 0.000
Sn17 0.250 0.375 0.625
Sn18 0.625 0.875 0.250
Sn19 0.875 0.625 0.750
Sn20 0.000 0.000 0.500
Cl1 0.875 0.125 0.250
Cl2 0.250 0.125 0.375
Cl3 0.625 0.375 0.750
Cl4 0.750 0.375 0.125
Cl5 0.125 0.250 0.875
Cl6 0.625 0.250 0.375
Cl7 0.125 0.875 0.750
Cl8 0.250 0.625 0.875
Cl9 0.875 0.750 0.125
Cl10 0.375 0.625 0.250
Cl11 0.750 0.875 0.625
Cl12 0.375 0.750 0.625



Entry from Alexandria via LeMat-Bulk: a geometry-optimized U2Be3Si4Ni structure (PBE).

Computed properties:
- Formation energy (no corrections): -31.01 kJ/mol of atoms

Lattice parameters (Å, degrees): 3.896 3.896 9.360 90.00 90.00 90.00
Element x y z (fractional)
Si1 0.000 0.000 0.000
Si2 0.000 0.500 0.366
Si3 0.500 0.000 0.634
Si4 0.500 0.500 0.000
Be1 0.500 0.000 0.870
Be2 0.000 0.000 0.500
Be3 0.000 0.500 0.130
Ni1 0.500 0.500 0.500
U1 0.000 0.500 0.753
U2 0.500 0.000 0.247



Entry from Alexandria via LeMat-Bulk: a geometry-optimized TbPm2Ho12 structure (PBE).

Computed properties:
- ΔH_f (0 K): 114 meV/atom

Lattice parameters (Å, degrees): 6.604 6.604 24.871 83.40 96.60 64.69
Element x y z (fractional)
Pm1 0.548 0.952 0.728
Pm2 0.952 0.548 0.272
Pm3 0.048 0.452 0.728
Pm4 0.452 0.048 0.272
Ho1 0.820 0.680 0.428
Ho2 0.833 0.167 0.445
Ho3 0.901 0.599 0.864
Ho4 0.554 0.446 0.074
Ho5 0.946 0.054 0.926
Ho6 0.497 0.503 0.331
Ho7 0.054 0.946 0.074
Ho8 0.503 0.497 0.669
Ho9 0.446 0.554 0.926
Ho10 0.401 0.099 0.864
Ho11 0.997 0.003 0.331
Ho12 0.099 0.401 0.136
Ho13 0.399 0.601 0.201
Ho14 0.680 0.820 0.572
Ho15 0.101 0.899 0.799
Ho16 0.167 0.833 0.555
Ho17 0.899 0.101 0.201
Ho18 0.667 0.333 0.555
Ho19 0.333 0.667 0.445
Ho20 0.180 0.320 0.572
Ho21 0.599 0.901 0.136
Ho22 0.601 0.399 0.799
Ho23 0.320 0.180 0.428
Ho24 0.003 0.997 0.669
Tb1 0.500 0.000 0.000
Tb2 0.000 0.500 0.000



Entry from Alexandria via LeMat-Bulk: a geometry-optimized Y3ZnAu structure (PBE).

Computed properties:
- Offset from the most stable computed form: 0 meV per atom
- ΔH_f (0 K): -470 meV/atom

Lattice parameters (Å, degrees): 5.089 5.089 10.102 90.00 75.41 90.00
Element x y z (fractional)
Y1 0.755 0.250 0.138
Y2 0.390 0.250 0.868
Y3 0.075 0.750 0.498
Y4 0.573 0.250 0.502
Y5 0.893 0.750 0.862
Y6 0.258 0.750 0.132
Zn1 0.480 0.750 0.689
Zn2 0.169 0.250 0.311
Au1 0.663 0.750 0.322
Au2 0.985 0.250 0.678



Entry from Alexandria via LeMat-Bulk: a geometry-optimized RbRhSe2 structure (PBE).

Computed properties:
- Formation energy (no corrections): -24.63 kJ/mol of atoms

Lattice parameters (Å, degrees): 8.689 8.689 8.689 27.72 27.72 27.72
Element x y z (fractional)
Se1 0.593 0.593 0.593
Se2 0.147 0.147 0.147
Rh1 0.500 0.500 0.500
Rb1 0.011 0.011 0.011



Entry from Alexandria via LeMat-Bulk: a geometry-optimized VAgBr6 structure (PBE).

Computed properties:
- Formation energy (no corrections): -49.07 kJ/mol of atoms

Lattice parameters (Å, degrees): 6.593 6.594 7.075 62.20 62.23 60.01
Element x y z (fractional)
Br1 0.608 0.220 0.235
Br2 0.780 0.064 0.765
Br3 0.392 0.780 0.765
Br4 0.936 0.608 0.235
Br5 0.064 0.392 0.765
Br6 0.220 0.936 0.235
Ag1 0.500 0.500 0.500
V1 0.000 0.000 0.000



Entry from Alexandria via LeMat-Bulk: a geometry-optimized V2In2Bi structure (PBE).

Computed properties:
- Offset from the most stable computed form: 0 meV per atom
- ΔH_f (0 K): 285 meV/atom

Lattice parameters (Å, degrees): 6.900 6.900 4.393 90.00 90.00 90.00
Element x y z (fractional)
V1 0.119 0.381 0.000
V2 0.619 0.119 0.000
V3 0.881 0.619 0.000
V4 0.381 0.881 0.000
Bi1 0.500 0.500 0.000
Bi2 0.000 0.000 0.000
In1 0.163 0.663 0.500
In2 0.337 0.163 0.500
In3 0.663 0.837 0.500
In4 0.837 0.337 0.500



Entry from Alexandria via LeMat-Bulk: a geometry-optimized Sn2TePd8 structure (PBE).

Computed properties:
- Offset from the most stable computed form: 29 meV per atom
- Formation energy (no corrections): -38.37 kJ/mol of atoms

Lattice parameters (Å, degrees): 4.261 6.324 7.700 107.12 106.06 90.00
Element x y z (fractional)
Pd1 0.828 0.763 0.656
Pd2 0.028 0.746 0.057
Pd3 0.407 0.548 0.813
Pd4 0.669 0.927 0.338
Pd5 0.972 0.254 0.943
Pd6 0.593 0.452 0.187
Pd7 0.331 0.073 0.662
Pd8 0.172 0.237 0.344
Te1 0.500 0.000 0.000
Sn1 0.199 0.672 0.397
Sn2 0.801 0.328 0.603



Entry from Alexandria via LeMat-Bulk: a geometry-optimized Pu2Ga2Tc structure (PBE).

Computed properties:
- ΔH_f (0 K): -138 meV/atom

Lattice parameters (Å, degrees): 3.402 5.808 7.235 137.86 90.00 107.03
Element x y z (fractional)
Ga1 0.622 0.243 0.407
Ga2 0.378 0.757 0.593
Tc1 0.000 0.000 0.000
Pu1 0.784 0.568 0.146
Pu2 0.216 0.432 0.854



Entry from Alexandria via LeMat-Bulk: a geometry-optimized Ta2Al3Zn3 structure (PBE).

Computed properties:
- ΔH_f (0 K): -161 meV/atom

Lattice parameters (Å, degrees): 4.008 3.954 7.809 90.00 90.00 90.00
Element x y z (fractional)
Al1 0.500 0.000 0.500
Al2 0.000 0.500 0.500
Al3 0.000 0.500 0.000
Ta1 0.000 0.000 0.254
Ta2 0.000 0.000 0.746
Zn1 0.500 0.500 0.249
Zn2 0.500 0.500 0.751
Zn3 0.500 0.000 0.000



Entry from Alexandria via LeMat-Bulk: a geometry-optimized ZrAlOs2 structure (PBE).

Computed properties:
- ΔH_f (0 K): -415 meV/atom

Lattice parameters (Å, degrees): 3.236 4.423 4.423 90.00 90.00 90.00
Element x y z (fractional)
Al1 0.500 0.000 0.000
Os1 0.000 0.000 0.500
Os2 0.000 0.500 0.000
Zr1 0.500 0.500 0.500